Entry 1:
Ca8Ga2Pt | PBE | optimized geometry

a = 5.1187 Å, b = 8.7611 Å, c = 14.4278 Å
α = 90.00°, β = 90.00°, γ = 90.00°
Space group Immm (No. 71)
One atom of each set of equivalent atoms:
Ca 0.0000 0.0000 0.1267
Ca 0.0000 0.2214 0.3419
Ca 0.0000 0.3236 0.0000
Ga 0.0000 0.5000 0.1905
Pt 0.0000 0.5000 0.5000

Fermi-level density of states ... 9.642 states/eV/f.u.
Formation energy from the elements ... -0.284 eV per atom
Energy above the most stable polymorph in this dataset ... 105.1 meV/atom

---

Entry 2:
CaGa4Pt4 | PBE | optimized geometry

a = 6.5123 Å, b = 6.5123 Å, c = 8.0338 Å
α = 90.00°, β = 90.00°, γ = 90.00°
Space group P4_2/nmc (No. 137, origin choice 2)
One atom of each set of equivalent atoms:
Ca 0.2500 0.7500 0.2500
Ga 0.0014 0.7500 0.6283
Pt 0.0398 0.2500 0.0560

Fermi-level density of states ... 4.688 states/eV/f.u.
Formation energy from the elements ... -0.682 eV per atom

---

Entry 3:
Ca2GaPt | PBE | optimized geometry

a = 5.9050 Å, b = 4.2385 Å, c = 8.4376 Å
α = 90.00°, β = 107.67°, γ = 90.00°
Space group P2_1/m (No. 11)
One atom of each set of equivalent atoms:
Ca 0.1994 0.2500 0.4218
Ca 0.2674 0.7500 0.0667
Ga 0.3581 0.7500 0.7199
Pt 0.1619 0.2500 0.7796

Fermi-level density of states ... 3.112 states/eV/f.u.
Formation energy from the elements ... -0.740 eV per atom
Energy above the most stable polymorph in this dataset ... 0.0 meV/atom